No. 1
A relaxed structure of ThAsI, computed with PBE.

Properties
Its calculated volume is 29.079 Å³ per atom. As for the energy above the most stable polymorph in this dataset: 0.6548 eV per atom.

Cell and atoms, written as CIF:
```
data_ThAsI
_chemical_formula_sum 'Th1 As1 I1'
_cell_length_a 5.2589
_cell_length_b 5.2589
_cell_length_c 3.6423
_cell_angle_alpha 90.00
_cell_angle_beta 90.00
_cell_angle_gamma 120.00
_symmetry_space_group_name_H-M 'P -6 m 2'
_symmetry_Int_Tables_number 187
_symmetry_space_group_name_Hall 'P -6 2'
loop_
_atom_site_label
_atom_site_type_symbol
_atom_site_fract_x
_atom_site_fract_y
_atom_site_fract_z
_atom_site_occupancy
Th1 Th 0.0000 0.0000 0.0000 1
As1 As 0.6667 0.3333 0.5000 1
I1 I 0.3333 0.6667 0.0000 1
```

=====

No. 2
A relaxed structure of AlZn2CdGe, computed with PBE.

Properties
Its total energy is -1.630 eV/atom. Its calculated volume is 25.805 Å³ per atom.

Cell and atoms, written as CIF:
```
data_AlZn2CdGe
_chemical_formula_sum 'Al1 Zn2 Cd1 Ge1'
_cell_length_a 4.944
_cell_length_b 4.944
_cell_length_c 5.278
_cell_angle_alpha 90.00
_cell_angle_beta 90.00
_cell_angle_gamma 90.00
_symmetry_space_group_name_H-M 'P 4/m m m'
_symmetry_Int_Tables_number 123
_symmetry_space_group_name_Hall '-P 4 2'
loop_
_atom_site_label
_atom_site_type_symbol
_atom_site_fract_x
_atom_site_fract_y
_atom_site_fract_z
_atom_site_occupancy
Al1 Al 0.000 0.000 0.000 1
Zn1 Zn 0.000 0.500 0.500 1
Cd1 Cd 0.500 0.500 0.500 1
Ge1 Ge 0.500 0.500 0.000 1
```

=====

No. 3
A relaxed structure of NaCa3Fe, computed with PBE.

Properties
Its calculated volume is 35.168 Å³ per atom. As for the energy above the most stable polymorph in this dataset: 0.0000 eV per atom.

Cell and atoms, written as CIF:
```
data_NaCa3Fe
_chemical_formula_sum 'Na1 Ca3 Fe1'
_cell_length_a 5.602
_cell_length_b 5.602
_cell_length_c 5.602
_cell_angle_alpha 90.00
_cell_angle_beta 90.00
_cell_angle_gamma 90.00
_symmetry_space_group_name_H-M 'P m -3 m'
_symmetry_Int_Tables_number 221
_symmetry_space_group_name_Hall '-P 4 2 3'
loop_
_atom_site_label
_atom_site_type_symbol
_atom_site_fract_x
_atom_site_fract_y
_atom_site_fract_z
_atom_site_occupancy
Na1 Na 0.000 0.000 0.000 1
Ca1 Ca 0.000 0.500 0.500 1
Fe1 Fe 0.500 0.500 0.500 1
```